# 1
The following is a GGA-PBE calculation of an optimized crystal structure of CeSn6Ru4, from Alexandria.

a b c (Å): 6.9584 6.9584 6.9584
angles (deg): 120.25 120.25 89.56
With the nearest neighbours (Å) after each atom.
Sites, in units of the cell vectors:
Ce 0.0000 0.0000 0.0000  4 Ru 3.26, 8 Sn 3.38-3.47
Sn 0.0000 0.5000 0.5000  4 Ru 2.66
Sn 0.1209 0.4689 0.0000  4 Ru 2.61-2.78
Sn 0.4689 0.1209 0.0000  4 Ru 2.61-2.78
Sn 0.5000 0.0000 0.5000  4 Ru 2.66
Sn 0.5311 0.5311 0.6520  4 Ru 2.61-2.78
Sn 0.8791 0.8791 0.3480  4 Ru 2.61-2.78
Ru 0.2470 0.2470 0.6468  6 Sn 2.61-2.78, 2 Ru 2.88
Ru 0.3997 0.7530 0.0000  6 Sn 2.61-2.78, 2 Ru 2.88
Ru 0.6003 0.6003 0.3532  6 Sn 2.61-2.78, 2 Ru 2.88
Ru 0.7530 0.3997 0.0000  6 Sn 2.61-2.78, 2 Ru 2.88

Symmetry: I-42m
Final energy, Ha/atom: -0.2369
Formation enthalpy at 0 K, eV/atom: -0.349

=====

# 2
The following is a GGA-PBE calculation of an optimized crystal structure of Ce12SnRu6, from Alexandria.

a b c (Å): 8.3125 8.3125 8.3125
angles (deg): 107.32 107.32 107.32
With the nearest neighbours (Å) after each atom.
Sites, in units of the cell vectors:
Ce 0.0000 0.3897 0.6103  4 Ru 2.89-3.02, 3 Ce 2.95-3.20
Ce 0.0000 0.6103 0.3897  4 Ru 2.89-3.02, 3 Ce 2.95-3.20
Ce 0.0928 0.0928 0.3534  1 Ru 2.58
Ce 0.0928 0.3534 0.0928  1 Ru 2.58
Ce 0.3534 0.0928 0.0928  1 Ru 2.58
Ce 0.3897 0.0000 0.6103  4 Ru 2.89-3.02, 3 Ce 2.95-3.20
Ce 0.3897 0.6103 0.0000  4 Ru 2.89-3.02, 3 Ce 2.95-3.20
Ce 0.6103 0.0000 0.3897  4 Ru 2.89-3.02, 3 Ce 2.95-3.20
Ce 0.6103 0.3897 0.0000  4 Ru 2.89-3.02, 3 Ce 2.95-3.20
Ce 0.6466 0.9072 0.9072  1 Ru 2.58
Ce 0.9072 0.6466 0.9072  1 Ru 2.58
Ce 0.9072 0.9072 0.6466  1 Ru 2.58
Sn 0.5000 0.5000 0.5000  6 Ce 3.56
Ru 0.1989 0.7909 0.7909  1 Ce 2.58
Ru 0.2092 0.2092 0.8011  1 Ce 2.58
Ru 0.2092 0.8011 0.2092  1 Ce 2.58
Ru 0.7908 0.1989 0.7908  1 Ce 2.58
Ru 0.7908 0.7908 0.1989  1 Ce 2.58
Ru 0.8011 0.2092 0.2092  1 Ce 2.58

Symmetry: R-3m
Final energy, Ha/atom: -0.2581
Formation enthalpy at 0 K, eV/atom: -0.137

=====

# 3
The following is a GGA-PBE calculation of an optimized crystal structure of Ce8SnRu2, from Alexandria.

a b c (Å): 7.9624 7.9624 5.1716
angles (deg): 97.46 97.46 116.44
With the nearest neighbours (Å) after each atom.
Sites, in units of the cell vectors:
Ce 0.0836 0.0836 0.7993  2 Ce 2.78-3.07, 2 Ru 3.11
Ce 0.2094 0.4240 0.4338  2 Ce 2.90-2.98, 2 Ru 3.01-3.03
Ce 0.2458 0.7542 0.0000  2 Ru 2.66
Ce 0.4240 0.2094 0.4338  2 Ce 2.90-2.98, 2 Ru 3.01-3.03
Ce 0.5760 0.7906 0.5662  2 Ce 2.90-2.98, 2 Ru 3.01-3.03
Ce 0.7542 0.2458 0.0000  2 Ru 2.66
Ce 0.7906 0.5760 0.5662  2 Ce 2.90-2.98, 2 Ru 3.01-3.03
Ce 0.9164 0.9164 0.2007  2 Ce 2.78-3.07, 2 Ru 3.11
Sn 0.5000 0.5000 0.0000  12 Ce 3.29-3.44
Ru 0.1995 0.8005 0.5000  2 Ce 2.66
Ru 0.8005 0.1995 0.5000  2 Ce 2.66

Symmetry: C2/m
Final energy, Ha/atom: -0.2423
Formation enthalpy at 0 K, eV/atom: -0.227

=====

# 4
The following is a GGA-PBE calculation of an optimized crystal structure of Ce3SnRu3, from Alexandria.

a b c (Å): 7.0914 7.0914 7.0914
angles (deg): 75.45 75.45 75.45
With the nearest neighbours (Å) after each atom.
Sites, in units of the cell vectors:
Ce 0.1334 0.3727 0.8140  1 Ru 2.38
Ce 0.1860 0.8666 0.6273  1 Ru 2.38
Ce 0.3727 0.8140 0.1334  1 Ru 2.38
Ce 0.6273 0.1860 0.8666  1 Ru 2.38
Ce 0.8140 0.1334 0.3727  1 Ru 2.38
Ce 0.8666 0.6273 0.1860  1 Ru 2.38
Sn 0.3290 0.3290 0.3290  6 Ru 2.83-2.99
Sn 0.6710 0.6710 0.6710  6 Ru 2.83-2.99
Ru 0.0607 0.6945 0.4534  1 Ce 2.38
Ru 0.3055 0.5466 0.9393  1 Ce 2.38
Ru 0.4534 0.0607 0.6945  1 Ce 2.38
Ru 0.5466 0.9393 0.3055  1 Ce 2.38
Ru 0.6945 0.4534 0.0607  1 Ce 2.38
Ru 0.9393 0.3055 0.5466  1 Ce 2.38

Symmetry: R-3
Final energy, Ha/atom: -0.2739
Formation enthalpy at 0 K, eV/atom: -0.363

=====

# 5
The following is a GGA-PBE calculation of an optimized crystal structure of Ce6SnRu5, from Alexandria.

a b c (Å): 6.6902 6.6902 6.7846
angles (deg): 99.35 99.35 109.33
With the nearest neighbours (Å) after each atom.
Sites, in units of the cell vectors:
Ce 0.0234 0.3887 0.7216  4 Ru 2.73-2.81
Ce 0.2000 0.2000 0.2256  5 Ru 2.74-2.95
Ce 0.3887 0.0234 0.7216  4 Ru 2.73-2.81
Ce 0.6113 0.9766 0.2784  4 Ru 2.73-2.81
Ce 0.8000 0.8000 0.7744  5 Ru 2.74-2.95
Ce 0.9766 0.6113 0.2784  4 Ru 2.73-2.81
Sn 0.5000 0.5000 0.0000  6 Ce 3.12-3.21, 2 Ru 3.16
Ru 0.0000 0.0000 0.5000  6 Ce 2.73-2.74
Ru 0.2104 0.7896 0.0000  6 Ce 2.77-2.95
Ru 0.3689 0.6311 0.5000  4 Ce 2.76-2.91, 1 Ru 2.86
Ru 0.6311 0.3689 0.5000  4 Ce 2.76-2.91, 1 Ru 2.86
Ru 0.7896 0.2104 0.0000  6 Ce 2.77-2.95

Symmetry: C2/m
Final energy, Ha/atom: -0.2718
Formation enthalpy at 0 K, eV/atom: -0.231

=====

# 6
The following is a GGA-PBE calculation of an optimized crystal structure of Ce6SnRu2, from Alexandria.

a b c (Å): 8.7889 8.7889 7.7036
angles (deg): 114.30 114.30 61.09
With the nearest neighbours (Å) after each atom.
Sites, in units of the cell vectors:
Ce 0.0390 0.7769 0.7788  1 Ru 2.62, 1 Ce 2.76
Ce 0.0421 0.6155 0.3874  2 Ce 2.76-2.83, 1 Ru 2.86
Ce 0.2231 0.9610 0.7212  1 Ru 2.62, 1 Ce 2.76
Ce 0.3349 0.3703 0.0024  1 Ru 2.61, 1 Ce 2.83
Ce 0.3703 0.3349 0.5024  1 Ru 2.61, 1 Ce 2.83
Ce 0.3845 0.9579 0.1126  2 Ce 2.76-2.83, 1 Ru 2.86
Ce 0.6155 0.0421 0.8874  2 Ce 2.76-2.83, 1 Ru 2.86
Ce 0.6297 0.6651 0.4976  1 Ru 2.61, 1 Ce 2.83
Ce 0.6651 0.6297 0.9976  1 Ru 2.61, 1 Ce 2.83
Ce 0.7769 0.0390 0.2788  1 Ru 2.62, 1 Ce 2.76
Ce 0.9579 0.3845 0.6126  2 Ce 2.76-2.83, 1 Ru 2.86
Ce 0.9610 0.2231 0.2212  1 Ru 2.62, 1 Ce 2.76
Sn 0.2047 0.7953 0.2500  2 Ru 2.89
Sn 0.7953 0.2047 0.7500  2 Ru 2.89
Ru 0.0816 0.3203 0.0399  3 Ce 2.61-2.86, 1 Sn 2.89
Ru 0.3203 0.0816 0.5399  3 Ce 2.61-2.86, 1 Sn 2.89
Ru 0.6797 0.9184 0.4601  3 Ce 2.61-2.86, 1 Sn 2.89
Ru 0.9184 0.6797 0.9601  3 Ce 2.61-2.86, 1 Sn 2.89

Symmetry: C2/c
Final energy, Ha/atom: -0.2470
Formation enthalpy at 0 K, eV/atom: -0.258

=====

# 7
The following is a GGA-PBE calculation of an optimized crystal structure of Ce6Sn3Ru, from Alexandria.

a b c (Å): 6.2824 6.2824 8.1175
angles (deg): 100.91 100.91 63.87
With the nearest neighbours (Å) after each atom.
Sites, in units of the cell vectors:
Ce 0.0933 0.6673 0.6367  1 Ru 2.67, 1 Ce 2.83
Ce 0.3327 0.9067 0.3633  1 Ru 2.67, 1 Ce 2.83
Ce 0.3520 0.3520 0.1220  1 Ru 3.12, 1 Sn 3.27
Ce 0.6480 0.6480 0.8780  1 Ru 3.12, 1 Sn 3.27
Ce 0.6673 0.0933 0.6367  1 Ru 2.67, 1 Ce 2.83
Ce 0.9067 0.3327 0.3633  1 Ru 2.67, 1 Ce 2.83
Sn 0.0000 0.0000 0.0000  2 Sn 3.05, 4 Ce 3.26
Sn 0.1681 0.1681 0.7407  1 Sn 3.05, 7 Ce 3.21-3.31
Sn 0.8319 0.8319 0.2593  1 Sn 3.05, 7 Ce 3.21-3.31
Ru 0.5000 0.5000 0.5000  4 Ce 2.67

Symmetry: C2/m
Final energy, Ha/atom: -0.2227
Formation enthalpy at 0 K, eV/atom: -0.371

=====

# 8
The following is a GGA-PBE calculation of an optimized crystal structure of Ce5SnRu6, from Alexandria.

a b c (Å): 8.1224 8.1224 5.0386
angles (deg): 104.25 104.25 120.02
With the nearest neighbours (Å) after each atom.
Sites, in units of the cell vectors:
Ce 0.0000 0.0000 0.0000  2 Ru 2.47
Ce 0.1774 0.8226 0.5000  4 Ru 2.65-2.88
Ce 0.3522 0.6478 0.0000  2 Ru 2.55
Ce 0.6478 0.3522 0.0000  2 Ru 2.55
Ce 0.8226 0.1774 0.5000  4 Ru 2.65-2.88
Sn 0.5000 0.5000 0.5000  6 Ru 2.66-2.91
Ru 0.1127 0.4575 0.2302  2 Ce 2.55-2.65
Ru 0.1927 0.1927 0.5619  1 Ce 2.47, 1 Sn 2.66
Ru 0.4575 0.1127 0.2302  2 Ce 2.55-2.65
Ru 0.5425 0.8873 0.7698  2 Ce 2.55-2.65
Ru 0.8073 0.8073 0.4381  1 Ce 2.47, 1 Sn 2.66
Ru 0.8873 0.5425 0.7698  2 Ce 2.55-2.65

Symmetry: C2/m
Final energy, Ha/atom: -0.2861
Formation enthalpy at 0 K, eV/atom: -0.343

=====

# 9
The following is a GGA-PBE calculation of an optimized crystal structure of Ce6SnRu3, from Alexandria.

a b c (Å): 8.7200 8.7200 6.8651
angles (deg): 90.00 90.00 103.57
With the nearest neighbours (Å) after each atom.
Sites, in units of the cell vectors:
Ce 0.0077 0.9923 0.5000  4 Ru 2.73-2.90
Ce 0.1109 0.4807 0.5211  1 Ru 2.71, 1 Ce 2.91
Ce 0.2360 0.7640 0.7481  3 Ru 2.85-2.89, 2 Ce 2.91
Ce 0.2629 0.4146 0.9867  2 Ru 2.45-2.58
Ce 0.4146 0.2629 0.4867  2 Ru 2.45-2.58
Ce 0.4807 0.1109 0.0211  1 Ru 2.71, 1 Ce 2.91
Ce 0.5193 0.8891 0.5211  1 Ru 2.71, 1 Ce 2.91
Ce 0.5854 0.7371 0.9867  2 Ru 2.45-2.58
Ce 0.7371 0.5854 0.4867  2 Ru 2.45-2.58
Ce 0.7640 0.2360 0.2481  3 Ru 2.85-2.89, 2 Ce 2.91
Ce 0.8891 0.5193 0.0211  1 Ru 2.71, 1 Ce 2.91
Ce 0.9923 0.0077 0.0000  4 Ru 2.73-2.90
Sn 0.2191 0.7809 0.2238  8 Ce 3.27-3.61
Sn 0.7809 0.2191 0.7238  8 Ce 3.27-3.61
Ru 0.0959 0.2603 0.2394  3 Ce 2.45-2.73
Ru 0.2603 0.0959 0.7394  3 Ce 2.45-2.73
Ru 0.4463 0.5537 0.7126  2 Ce 2.58
Ru 0.5537 0.4463 0.2126  2 Ce 2.58
Ru 0.7397 0.9041 0.2394  3 Ce 2.45-2.73
Ru 0.9041 0.7397 0.7394  3 Ce 2.45-2.73

Symmetry: Cmc2_1
Final energy, Ha/atom: -0.2590
Formation enthalpy at 0 K, eV/atom: -0.305

=====

# 10
The following is a GGA-PBE calculation of an optimized crystal structure of Ce3SnRu2, from Alexandria.

a b c (Å): 7.9208 7.9208 8.5237
angles (deg): 107.17 107.17 34.08
With the nearest neighbours (Å) after each atom.
Sites, in units of the cell vectors:
Ce 0.0766 0.0766 0.1971  2 Ru 2.43-2.62
Ce 0.2377 0.2377 0.7087  1 Ru 2.69
Ce 0.4008 0.4008 0.1292  5 Ru 2.85-3.08
Ce 0.5992 0.5992 0.8708  5 Ru 2.85-3.08
Ce 0.7623 0.7623 0.2913  1 Ru 2.69
Ce 0.9234 0.9234 0.8029  2 Ru 2.43-2.62
Sn 0.4024 0.4024 0.5239  4 Ru 2.98-3.21, 1 Sn 3.11, 3 Ce 3.27-3.34
Sn 0.5976 0.5976 0.4761  4 Ru 2.98-3.21, 1 Sn 3.11, 3 Ce 3.27-3.34
Ru 0.0532 0.0532 0.6587  4 Ce 2.62-2.89, 1 Ru 2.69
Ru 0.1878 0.1878 0.0429  1 Ce 2.43
Ru 0.8122 0.8122 0.9571  1 Ce 2.43
Ru 0.9468 0.9468 0.3413  4 Ce 2.62-2.89, 1 Ru 2.69

Symmetry: C2/m
Final energy, Ha/atom: -0.2613
Formation enthalpy at 0 K, eV/atom: -0.384

=====

# 11
The following is a GGA-PBE calculation of an optimized crystal structure of CeSnRu, from Alexandria.

a b c (Å): 4.6924 4.6924 3.5023
angles (deg): 90.00 90.00 120.00
With the nearest neighbours (Å) after each atom.
Sites, in units of the cell vectors:
Ce 0.0000 0.0000 0.0000  6 Sn 3.23, 6 Ru 3.23, 2 Ce 3.50
Sn 0.3333 0.6667 0.5000  3 Ru 2.71
Ru 0.6667 0.3333 0.5000  3 Sn 2.71

Symmetry: P-6m2
Final energy, Ha/atom: -0.2491
Formation enthalpy at 0 K, eV/atom: -0.374

=====

# 12
The following is a GGA-PBE calculation of an optimized crystal structure of Ce2Sn2Ru3, from Alexandria.

a b c (Å): 3.9565 6.1357 6.7589
angles (deg): 83.01 77.99 84.48
With the nearest neighbours (Å) after each atom.
Sites, in units of the cell vectors:
Ce 0.1007 0.1294 0.2270  1 Ru 2.38
Ce 0.8993 0.8706 0.7730  1 Ru 2.38
Sn 0.3715 0.3407 0.7192  4 Ru 2.66-2.78
Sn 0.6285 0.6593 0.2808  4 Ru 2.66-2.78
Ru 0.2348 0.6587 0.9917  1 Ce 2.38
Ru 0.5000 0.0000 0.5000  2 Sn 2.66, 4 Ce 2.67-2.80
Ru 0.7652 0.3413 0.0083  1 Ce 2.38

Symmetry: P-1
Final energy, Ha/atom: -0.2622
Formation enthalpy at 0 K, eV/atom: -0.320